# RbVNiO2 (GGA+U, optimized geometry)
# Size of the total moment ... 2.28 Bohr magnetons per cell
# DOS(E_F) ... 0.38 states/eV/atom
# Raw total energy ... -3.82 eV per atom
data_RbVNiO2
_space_group_name_H-M_alt 'P 4/m m m'
_space_group_IT_number 123
_space_group_name_Hall '-P 4 2'
_cell_length_a 4.2026
_cell_length_b 4.2026
_cell_length_c 4.4491
_cell_angle_alpha 90.00
_cell_angle_beta 90.00
_cell_angle_gamma 90.00
loop_
_atom_site_label
_atom_site_fract_x
_atom_site_fract_y
_atom_site_fract_z
Rb1 0.0000 0.0000 0.0000
V1 0.5000 0.5000 0.0000
Ni1 0.5000 0.5000 0.5000
O1 0.0000 0.5000 0.5000